1.
CsK3Ag2As2: relaxed, PBE.

Properties
space-group type = Pm (6)
raw total energy = -2.77 eV per atom

The structure in POSCAR format:
```
CsK3Ag2As2
1.0
-3.819 2.288 4.762
-5.012 -1.062 -3.509
0.504 -6.534 1.258
K As Ag Cs
3 2 2 1
Direct
0.317 0.000 0.976 K
0.028 0.500 0.683 K
0.680 0.500 0.019 K
0.741 0.000 0.766 As
0.258 0.500 0.240 As
0.505 0.252 0.501 Ag
0.505 0.748 0.501 Ag
0.966 0.000 0.315 Cs
```

2.
Cs2KAg3As2: relaxed, PBE.

Properties
space-group type = R-3m (166)
raw total energy = -2.90 eV per atom

The structure in POSCAR format:
```
Cs2KAg3As2
1.0
3.217 1.858 7.299
-3.217 1.858 7.299
0.000 -3.715 7.299
As Ag K Cs
2 3 1 2
Direct
0.748 0.748 0.748 As
0.252 0.252 0.252 As
0.500 0.500 0.000 Ag
0.500 0.000 0.500 Ag
0.000 0.500 0.500 Ag
0.500 0.500 0.500 K
0.091 0.091 0.091 Cs
0.909 0.909 0.909 Cs
```